## KRe2Ag (PBE)

Data for an optimized crystal structure of KRe2Ag.

Properties
E_form (eV per atom): 1.526
Symmetry: P4/mmm, No. 123
Raw total energy (Ry per atom): -0.418
Total moment (μB/f.u.): 0.000
Fermi-level density of states (states/eV/atom): 1.071

Unit cell a=3.517 b=3.517 c=7.658 alpha=90.00 beta=90.00 gamma=90.00
Positions (direct):
Ag  0.500  0.500  0.250
K  0.500  0.500  0.750
Re  0.000  0.000  0.103
Re  0.000  0.000  0.397


## KReAg2 (PBE)

Data for an optimized crystal structure of KReAg2.

Properties
E_form (eV per atom): 0.871
Symmetry: Cm, No. 8
Raw total energy (Ry per atom): -0.290
Total moment (μB/f.u.): 0.933
Fermi-level density of states (states/eV/atom): 0.540

Unit cell a=5.729 b=5.729 c=5.437 alpha=77.60 beta=77.60 gamma=27.20
Site moments in Bohr magnetons follow the coordinates.
Positions (direct):
Ag  0.014  0.014  0.067  0.02
Ag  0.731  0.731  0.698  0.01
K  0.487  0.487  0.569  0.00
Re  0.268  0.268  0.166  0.74